A plane-wave DFT calculation with PBE was carried out for a geometry-optimized K2Ba4Rh structure.

Summary:
* calculated density: 2.8 Mg/m³
* uncorrected energy: -2.48 eV/atom
* D(E_F): 1.1238 states/eV/atom
* volume: 437 Å³/f.u.

```
K2Ba4Rh
1.0
6.306 0.000 0.000
0.000 6.306 0.000
-3.153 -3.153 10.981
Rh Ba K
1 4 2
Direct
0.000 0.000 0.000 Rh
0.000 0.500 0.000 Ba
0.500 0.000 0.000 Ba
0.137 0.137 0.273 Ba
0.863 0.863 0.727 Ba
0.338 0.338 0.676 K
0.662 0.662 0.324 K
```

---

A plane-wave DFT calculation with PBE was carried out for a geometry-optimized SrPmCuIr structure.

Summary:
* calculated density: 8.8 Mg/m³
* uncorrected energy: -5.05 eV/atom
* D(E_F): 0.6636 states/eV/atom
* volume: 92 Å³/f.u.

```
SrPmCuIr
1.0
-4.146 0.156 -2.917
0.421 -0.465 -5.033
-1.640 -4.210 -2.304
Ir Cu Pm Sr
1 1 1 1
Direct
0.750 0.750 0.750 Ir
0.250 0.250 0.250 Cu
0.000 0.000 0.000 Pm
0.500 0.500 0.500 Sr
```

---

A plane-wave DFT calculation with PBE was carried out for a geometry-optimized InRuIO2 structure.

Summary:
* formation energy from raw total energies: 0.32 eV per atom
* calculated density: 5.9 Mg/m³
* D(E_F): 1.3091 states/eV/atom
* volume: 106 Å³/f.u.

```
InRuIO2
1.0
-2.536 -0.652 3.111
2.555 -2.785 1.500
2.984 4.562 3.388
O I Ru In
2 1 1 1
Direct
0.000 0.500 0.000 O
0.500 0.000 0.000 O
0.000 0.000 0.500 I
0.500 0.500 0.500 Ru
0.000 0.000 0.000 In
```